Material: SiBr2Cl
Method: DFT, PBE
State: optimized geometry

Values from the calculation:
SG: P4mm (99)
VASP energy (eV/atom): -2.56
Total magnetic moment (μB/f.u.): 0.00

a b c (Å): 3.302 3.302 10.933
angles (deg): 90.00 90.00 90.00
Atoms (fractional coordinates):
Si (0.000, 0.000, 0.000)
Br (0.000, 0.000, 0.509)
Br (0.500, 0.500, 0.155)
Cl (0.500, 0.500, 0.859)